An optimized crystal structure of RbAcNbN3. Source: Alexandria, functional GGA-PBE.

extended XYZ file:
```
12
Lattice="4.1407 0.0000 0.0000 -2.0704 7.3183 -0.0208 0.0000 -2.2346 8.1195" Properties=species:S:1:pos:R:3 pbc="T T T"
Rb 0.0000 3.1194 7.5809
Rb 2.0704 1.9643 0.5178
Ac 2.0704 1.0112 4.7761
Ac 0.0000 4.0724 3.3226
Nb 0.0000 -0.5797 2.5019
Nb 2.0704 5.6633 5.5968
N 2.0704 4.8826 1.7844
N 2.0704 3.6585 5.0541
N 2.0704 -0.5870 2.6568
N 0.0000 1.4251 3.0446
N 0.0000 5.6706 5.4419
N 0.0000 0.2011 6.3143
```

Its raw total energy is -7.157 eV/atom. Its uncorrected formation energy is -2.8 eV/f.u.